Computed, not measured: crystalline Ta2ZnP at its relaxed geometry at the PBE level of DFT.

```
Ta2ZnP
1.0
-2.888 -0.267 2.209
-0.234 -2.875 -0.653
3.453 -2.497 4.213
Ta P Zn
2 1 1
direct
0.000 0.081 0.736
0.000 0.919 0.264
0.500 0.500 0.500
0.500 0.500 0.000
```

## Properties
Formation energy = -15 kJ/mol of atoms
Space group = P2/m (10)
Electronic total energy = -7.75 eV/atom
Density of states at the Fermi level = 0.44 states/eV/atom
Crystal system = monoclinic